Record 1
The following is a DFT calculation (GGA-PBE) of an optimized crystal structure of LiAgSnS3.

* V: 21.3 Å³ per atom
* total DFT energy (no corrections): -4.0056 eV/atom
* crystal system: orthorhombic

```
24
Lattice="-8.713 0.487 0.981 -0.471 -1.269 -3.556 -0.222 -14.364 5.155" Properties=species:S:1:pos:R:3 pbc="T T T"
S -5.935 -7.306 2.375
Ag -7.165 -2.879 -1.077
Li -8.929 -11.433 2.209
Ag -6.558 -9.453 3.224
S -1.686 -14.481 4.373
Sn -1.815 -8.184 2.143
Li -4.567 -11.321 1.591
Ag -2.848 -5.693 -0.645
Ag -2.241 -12.268 3.656
Sn -7.591 -6.962 0.437
S -7.499 -11.465 4.067
S -9.099 -9.080 1.392
Li -4.839 -3.825 0.988
S -4.597 -1.495 0.125
S -0.308 -6.067 1.188
Sn -3.148 -1.569 -2.077
S -3.119 -10.155 3.019
S -7.720 -0.665 -1.793
S -4.809 -13.651 2.454
S -6.288 -4.991 -0.439
S -1.907 -3.682 -1.487
Sn -6.259 -13.578 4.656
S -3.471 -7.841 0.204
Li -0.478 -3.714 0.370
```

=====

Record 2
The following is a DFT calculation (GGA-PBE) of an optimized crystal structure of LiAgSnTe2S.

* V: 26.8 Å³ per atom
* total DFT energy (no corrections): -3.5512 eV/atom
* crystal system: orthorhombic

```
12
Lattice="-2.087 6.262 -2.714 0.025 -7.079 -0.908 -9.573 -0.755 5.620" Properties=species:S:1:pos:R:3 pbc="T T T"
Te -6.057 1.349 0.655
Te -10.170 -3.282 4.040
Te -1.464 1.711 -2.042
S -7.202 -7.343 3.266
Sn -4.786 -0.377 2.810
Ag -3.642 0.783 -0.593
Li -8.449 0.536 2.200
Te -5.577 -2.920 1.344
Li -3.185 -2.107 -0.201
Sn 0.000 0.000 0.000
Ag -7.992 -2.354 2.591
S -4.432 5.772 -1.268
```

=====

Record 3
The following is a DFT calculation (GGA-PBE) of an optimized crystal structure of LiAgSnTeS2.

* V: 23.9 Å³ per atom
* total DFT energy (no corrections): -3.6795 eV/atom
* crystal system: orthorhombic

```
12
Lattice="1.819 -6.783 0.000 1.819 6.783 0.000 0.000 0.000 11.602" Properties=species:S:1:pos:R:3 pbc="T T T"
Li 1.819 -3.329 8.702
Sn 1.819 0.000 0.000
Te 1.819 1.206 8.702
Sn 1.819 0.000 5.801
S 1.819 -4.971 5.233
Te 1.819 -1.206 2.901
Li 1.819 3.329 2.901
S 1.819 4.971 6.370
S 1.819 -4.971 0.569
Ag 1.819 5.575 8.702
S 1.819 4.971 11.034
Ag 1.819 -5.575 2.901
```

=====

Record 4
The following is a DFT calculation (GGA-PBE) of an optimized crystal structure of LiTaAgTeS2.

* V: 20.3 Å³ per atom
* total DFT energy (no corrections): -5.1711 eV/atom
* crystal system: orthorhombic

```
12
Lattice="-5.269 2.726 3.700 2.614 -2.510 -5.979 -3.036 -9.455 2.643" Properties=species:S:1:pos:R:3 pbc="T T T"
Te -5.074 -0.271 3.190
Ta -1.518 -4.727 1.321
S -2.481 0.343 0.226
Te -0.616 -8.968 -2.826
S -1.973 -5.730 -0.940
Li 0.262 -3.816 -3.362
S -3.210 -9.583 0.137
Ag -2.401 -2.047 -0.092
Ta 0.000 0.000 0.000
S -3.718 -3.510 1.303
Ag -3.289 -7.192 0.456
Li -5.953 -5.423 3.726
```

=====

Among the records above, which one has the highest total DFT energy (no corrections)? LiAgSnTe2S